The following is a PBE+U calculation of a geometry-optimized GaNiPb2O6 structure, from Alexandria via LeMat-Bulk. Values from VASP.

Structure (Quantum ESPRESSO input):
```
&SYSTEM
  ibrav = 0, nat = 10, ntyp = 4
/
ATOMIC_SPECIES
Ga 69.72 Ga.upf
Ni 58.69 Ni.upf
Pb 207.20 Pb.upf
O 16.00 O.upf
CELL_PARAMETERS angstrom
2.744 1.584 4.803
-2.744 1.584 4.803
0.000 -3.169 4.803
ATOMIC_POSITIONS crystal
Ga 0.000 0.000 0.000
Ni 0.502 0.502 0.502
Pb 0.288 0.288 0.288
Pb 0.780 0.780 0.780
O 0.139 0.340 0.722
O 0.214 0.874 0.627
O 0.340 0.722 0.139
O 0.627 0.214 0.874
O 0.722 0.139 0.340
O 0.874 0.627 0.214
```

Values from the calculation:
Magnetic moment: 2.0 μB/f.u.
Total DFT energy (no corrections): -5.393 eV per atom